# Li2VZnGe PBE optimized geometry
data_Li2VZnGe
_cell_length_a 4.217
_cell_length_b 4.755
_cell_length_c 4.217
_cell_angle_alpha 90.00
_cell_angle_beta 90.00
_cell_angle_gamma 90.00
_space_group_name_H-M_alt 'P 1'
_space_group_IT_number 1
loop_
_space_group_symop_operation_xyz
'x,y,z'
loop_
_atom_site_label
_atom_site_fract_x
_atom_site_fract_y
_atom_site_fract_z
Li1 0.500 0.000 0.000
Li2 0.000 0.000 0.500
Zn1 0.000 0.000 0.000
V1 0.000 0.500 0.000
Ge1 0.500 0.500 0.500
# energy of formation	0.537	eV/atom
# electronic total energy	-3.231	eV per atom
# crystal system	tetragonal
# density	3.98	g/cm³
# SG	P4/mmm, No. 123